# 1
Compound: GaCo2Ni
Source: the Alexandria database
Functional: PBE
Structure: relaxed

```
GaCo2Ni
1.0
2.8779 0.0000 0.0000
0.0000 2.8779 0.0000
0.0000 0.0000 5.5732
Ga Co Ni
1 2 1
direct
0.5000 0.5000 0.5000
0.0000 0.0000 0.2422
0.0000 0.0000 0.7578
0.5000 0.5000 0.0000
```

Values from the calculation:
energy of formation from the pure elements	-0.04	eV per atom
density of states at the Fermi level	4.88	states/eV/f.u.


# 2
Compound: SnTe4Rh
Source: the Alexandria database
Functional: PBE
Structure: relaxed

```
SnTe4Rh
1.0
4.0069 -0.0060 0.0144
0.0185 7.0930 -1.3748
0.0048 -0.4940 12.2895
Te Rh Sn
8 2 2
direct
0.5018 0.0976 0.8793
0.0013 0.6536 0.8619
0.4982 0.9024 0.1207
0.4987 0.3464 0.6381
0.9982 0.9024 0.6207
0.0018 0.0976 0.3793
0.9987 0.3464 0.1381
0.5013 0.6536 0.3619
0.5000 0.0000 0.5000
0.0000 0.0000 0.0000
0.5000 0.5000 0.0000
0.0000 0.5000 0.5000
```

Values from the calculation:
density of states at the Fermi level	3.15	states/eV/f.u.
ΔE_f (raw)	-0.26	eV per atom


# 3
Compound: Ce2AsH2
Source: the Alexandria database
Functional: PBE
Structure: relaxed

```
Ce2AsH2
1.0
3.7752 0.4013 -0.1892
-0.4095 3.7742 -0.1892
-1.4133 -1.7534 6.1798
H As Ce
2 1 2
direct
0.7501 0.2499 0.5000
0.2499 0.7501 0.5000
0.0000 0.0000 0.0000
0.6341 0.6341 0.2675
0.3659 0.3659 0.7325
```

Values from the calculation:
excess energy over the best structure of this formula in the dataset	0	meV/atom
density of states at the Fermi level	12.23	states/eV/f.u.


# 4
Compound: CdP2
Source: the Alexandria database
Functional: PBE
Structure: relaxed

```
CdP2
1.0
-0.8660 0.9169 2.9746
-1.8399 -2.0824 -1.6484
3.8828 -5.7216 2.8941
Cd P
1 2
direct
0.0000 0.0000 0.0000
0.6667 0.3333 0.5838
0.3333 0.6667 0.4162
```

Values from the calculation:
energy of formation from the pure elements	0.10	eV per atom
density of states at the Fermi level	0.91	states/eV/f.u.


# 5
Compound: ZrIrSe
Source: the Alexandria database
Functional: PBE
Structure: relaxed

```
ZrIrSe
1.0
4.2432 0.0000 0.0000
-2.1216 3.6747 0.0000
0.0000 0.0000 3.4758
Se Ir Zr
1 1 1
direct
0.3333 0.6667 0.1927
0.0000 0.0000 0.1369
0.6667 0.3333 0.6705
```

Values from the calculation:
excess energy over the best structure of this formula in the dataset	146	meV/atom
density of states at the Fermi level	1.23	states/eV/f.u.
ΔE_f (raw)	-0.63	eV per atom


# 6
Compound: LiTlW2C
Source: the Alexandria database
Functional: PBE
Structure: relaxed

```
LiTlW2C
1.0
4.1532 0.0000 0.0000
0.0000 4.3945 0.0000
0.0000 0.0000 4.1532
Tl W Li C
1 2 1 1
direct
0.5000 0.5000 0.5000
0.5000 0.0000 0.0000
0.0000 0.0000 0.5000
0.0000 0.5000 0.0000
0.0000 0.0000 0.0000
```

Values from the calculation:
energy of formation from the pure elements	0.44	eV per atom
density of states at the Fermi level	1.48	states/eV/f.u.


# 7
Compound: ReMo2Pb
Source: the Alexandria database
Functional: PBE
Structure: relaxed

```
ReMo2Pb
1.0
-1.3035 -2.0051 -1.8362
2.4894 -1.6813 0.2586
-3.1296 -3.6748 6.2343
Re Mo Pb
1 2 1
direct
0.5000 0.5000 0.7500
0.0000 0.0000 0.9622
0.0000 0.0000 0.5378
0.5000 0.5000 0.2500
```

Values from the calculation:
energy of formation from the pure elements	0.46	eV per atom
density of states at the Fermi level	2.91	states/eV/f.u.


# 8
Compound: Tc2MoPt
Source: the Alexandria database
Functional: PBE
Structure: relaxed

```
Tc2MoPt
1.0
3.9195 0.0000 0.0000
0.0000 3.9197 0.0000
0.0000 0.0000 3.8998
Tc Pt Mo
2 1 1
direct
0.0000 0.0000 0.0000
0.5000 0.5000 0.0000
0.0000 0.5000 0.5000
0.5000 0.0000 0.5000
```

Values from the calculation:
excess energy over the best structure of this formula in the dataset	0	meV/atom
energy of formation from the pure elements	-0.17	eV per atom
density of states at the Fermi level	3.90	states/eV/f.u.


# 9
Compound: TaZnPd2Rh
Source: the Alexandria database
Functional: PBE
Structure: relaxed

```
TaZnPd2Rh
1.0
-2.5413 -2.8420 2.8744
3.0475 0.5259 3.2144
-2.3869 3.7951 1.6421
Rh Ta Pd Zn
1 1 2 1
direct
0.0000 0.0000 0.0000
0.5000 0.5000 0.5000
0.0000 0.0000 0.5000
0.5000 0.0000 0.0000
0.0000 0.5000 0.0000
```

Values from the calculation:
energy of formation from the pure elements	1.29	eV per atom
density of states at the Fermi level	9.18	states/eV/f.u.


# 10
Compound: Ac3Si2Ru
Source: the Alexandria database
Functional: PBE
Structure: relaxed

```
Ac3Si2Ru
1.0
4.4292 0.0000 0.0000
0.0000 12.4029 0.0000
0.0000 0.0000 12.5042
Si Ac Ru
8 12 4
direct
0.2500 0.6847 0.4618
0.2500 0.4825 0.7921
0.7500 0.1847 0.0382
0.2500 0.0175 0.2921
0.7500 0.3153 0.5382
0.7500 0.5175 0.2079
0.7500 0.9825 0.7079
0.2500 0.8153 0.9618
0.2500 0.7982 0.7054
0.2500 0.4450 0.3850
0.7500 0.6176 0.9353
0.7500 0.2018 0.2946
0.7500 0.5550 0.6150
0.2500 0.3824 0.0647
0.2500 0.0550 0.8850
0.2500 0.1176 0.5647
0.7500 0.8824 0.4353
0.7500 0.2982 0.7946
0.7500 0.9450 0.1150
0.2500 0.7018 0.2054
0.7500 0.6465 0.3725
0.2500 0.3535 0.6275
0.2500 0.1465 0.1275
0.7500 0.8535 0.8725
```

Values from the calculation:
density of states at the Fermi level	5.34	states/eV/f.u.
ΔE_f (raw)	-0.51	eV per atom


# 11
Compound: PmGe2Rh5
Source: the Alexandria database
Functional: PBE
Structure: relaxed

```
PmGe2Rh5
1.0
-0.4864 3.4241 -1.7936
1.5606 -0.7739 -6.1318
-5.0251 -0.5328 -3.8856
Ge Rh Pm
2 5 1
direct
0.2427 0.2573 0.2573
0.7573 0.7427 0.7427
0.3584 0.8390 0.4441
0.6416 0.1610 0.5559
0.3584 0.4441 0.8390
0.0000 0.5000 0.5000
0.6416 0.5559 0.1610
0.0000 0.0000 0.0000
```

Values from the calculation:
energy of formation from the pure elements	-0.58	eV per atom
density of states at the Fermi level	7.14	states/eV/f.u.


# 12
Compound: SrPdAu4
Source: the Alexandria database
Functional: PBE
Structure: relaxed

```
SrPdAu4
1.0
5.5969 0.0000 0.0000
2.7984 4.8470 0.0000
2.7984 1.6157 4.5698
Pd Au Sr
1 4 1
direct
0.2500 0.2500 0.2500
0.6245 0.6245 0.1266
0.6245 0.6245 0.6245
0.1266 0.6245 0.6245
0.6245 0.1266 0.6245
0.0000 0.0000 0.0000
```

Values from the calculation:
excess energy over the best structure of this formula in the dataset	0	meV/atom
energy of formation from the pure elements	-0.41	eV per atom
density of states at the Fermi level	1.70	states/eV/f.u.


# 13
Compound: BeHg2Cl
Source: the Alexandria database
Functional: PBE
Structure: relaxed

```
BeHg2Cl
1.0
-2.5192 -0.8528 2.4972
3.5772 -0.0088 0.7164
-0.4224 7.6995 2.2033
Be Hg Cl
1 2 1
direct
0.5000 0.5000 0.2500
0.0000 0.0000 0.0337
0.0000 0.0000 0.4663
0.5000 0.5000 0.7500
```

Values from the calculation:
excess energy over the best structure of this formula in the dataset	311	meV/atom
density of states at the Fermi level	0.68	states/eV/f.u.
ΔE_f (raw)	0.11	eV per atom


# 14
Compound: Sc3TlO
Source: the Alexandria database
Functional: PBE
Structure: relaxed

```
Sc3TlO
1.0
-22.2394 -2.7600 7.0306
1.8500 -0.9409 5.4827
8.1872 3.7753 -2.1147
O Sc Tl
4 12 4
direct
0.4837 0.2453 0.3807
0.9837 0.2547 0.8807
0.0163 0.7453 0.1193
0.5163 0.7547 0.6193
0.6966 0.0790 0.0434
0.1966 0.4210 0.5434
0.6512 0.5617 0.7682
0.4198 0.8554 0.6070
0.3488 0.4383 0.2318
0.3034 0.9210 0.9566
0.8034 0.5790 0.4566
0.1512 0.9383 0.2682
0.5802 0.1446 0.3930
0.0802 0.3554 0.8930
0.9198 0.6446 0.1070
0.8488 0.0617 0.7318
0.9996 0.1746 0.3804
0.0004 0.8254 0.6196
0.5004 0.6746 0.1196
0.4996 0.3254 0.8804
```

Values from the calculation:
density of states at the Fermi level	4.71	states/eV/f.u.
ΔE_f (raw)	-1.21	eV per atom


# 15
Compound: Li2Ta2O3
Source: the Alexandria database
Functional: PBE
Structure: relaxed

```
Li2Ta2O3
1.0
4.9206 -0.0424 -0.0850
1.9110 4.5521 -0.0863
0.8613 0.5640 8.3202
O Ta Li
6 4 4
direct
0.2206 0.5909 0.0719
0.7492 0.0815 0.5964
0.6521 0.0212 0.1701
0.8423 0.4494 0.3417
0.7934 0.3983 0.8984
0.1575 0.4935 0.6434
0.2497 0.2991 0.2498
0.9435 0.9922 0.9905
0.4906 0.4506 0.4859
0.7875 0.7518 0.7561
0.1352 0.1058 0.6224
0.3764 0.4112 0.8606
0.5828 0.6600 0.1209
0.8301 0.8621 0.3811
```

Values from the calculation:
density of states at the Fermi level	3.11	states/eV/f.u.
ΔE_f (raw)	-1.57	eV per atom


# 16
Compound: CsNp2TlI8
Source: the Alexandria database
Functional: PBE
Structure: relaxed

```
CsNp2TlI8
1.0
8.5382 0.0000 0.0000
-4.2691 7.3943 0.0000
0.0000 0.0000 9.2788
I Np Tl Cs
8 2 1 1
direct
0.9417 0.6134 0.8415
0.0583 0.3866 0.1585
0.6667 0.3333 0.4119
0.3866 0.3283 0.8415
0.3283 0.9417 0.1585
0.6717 0.0583 0.8415
0.3333 0.6667 0.5881
0.6134 0.6717 0.1585
0.6667 0.3333 0.0854
0.3333 0.6667 0.9146
0.0000 0.0000 0.0000
0.0000 0.0000 0.5000
```

Values from the calculation:
density of states at the Fermi level	6.47	states/eV/f.u.
ΔE_f (raw)	-0.89	eV per atom


# 17
Compound: TlRuPt2
Source: the Alexandria database
Functional: PBE
Structure: relaxed

```
TlRuPt2
1.0
-0.1680 4.0687 2.7222
-4.7839 0.4416 -0.9553
-0.6023 -1.5602 2.2947
Pt Tl Ru
2 1 1
direct
0.0000 0.0000 0.0000
0.5000 0.5000 0.0000
0.0000 0.5000 0.5000
0.5000 0.0000 0.5000
```

Values from the calculation:
excess energy over the best structure of this formula in the dataset	74	meV/atom
energy of formation from the pure elements	0.30	eV per atom
density of states at the Fermi level	4.85	states/eV/f.u.


# 18
Compound: Mn4Os3
Source: the Alexandria database
Functional: PBE
Structure: relaxed

```
Mn4Os3
1.0
0.1616 4.6803 -1.8999
-0.3671 -0.6890 4.9932
4.4098 -0.0219 0.3212
Mn Os
4 3
direct
0.3333 0.6667 0.5000
0.0000 0.0000 0.7301
0.6667 0.3333 0.5000
0.0000 0.0000 0.2699
0.5000 0.0000 0.0000
0.0000 0.5000 0.0000
0.5000 0.5000 0.0000
```

Values from the calculation:
excess energy over the best structure of this formula in the dataset	298	meV/atom
energy of formation from the pure elements	0.32	eV per atom
density of states at the Fermi level	8.26	states/eV/f.u.


# 19
Compound: YHoN
Source: the Alexandria database
Functional: PBE
Structure: relaxed

```
YHoN
1.0
-3.4504 -0.3578 -2.4333
-2.5319 -3.3743 0.3971
-3.8527 0.4317 1.7103
Y Ho N
1 1 1
direct
0.5000 0.5000 0.5000
0.0000 0.0000 0.0000
0.2500 0.2500 0.2500
```

Values from the calculation:
excess energy over the best structure of this formula in the dataset	770	meV/atom
density of states at the Fermi level	1.60	states/eV/f.u.
ΔE_f (raw)	-0.32	eV per atom


# 20
Compound: CaScZnBr2
Source: the Alexandria database
Functional: PBE
Structure: relaxed

```
CaScZnBr2
1.0
-2.7286 4.2989 -1.1092
-3.9576 -3.1483 -2.4663
-2.5050 -0.4158 4.5506
Zn Br Sc Ca
1 2 1 1
direct
0.0000 0.5000 0.0000
0.5000 0.0000 0.0000
0.0000 0.0000 0.5000
0.0000 0.0000 0.0000
0.5000 0.5000 0.5000
```

Values from the calculation:
density of states at the Fermi level	5.66	states/eV/f.u.
ΔE_f (raw)	-0.59	eV per atom